Entry 1:
A relaxed structure of GdTh2In, computed with PBE.

Lattice parameters (Å, degrees): 4.1981 4.1981 6.9715 90.00 90.00 90.00
Element x y z (fractional)
Gd  0.0000  0.0000  0.0000
Th  0.5000  0.5000  0.2695
Th  0.5000  0.5000  0.7305
In  0.0000  0.0000  0.5000

Summary:
- SG = P4/mmm (123)
- calculated volume (Å³/f.u.) = 122.9
- excess energy over the best structure of this formula in the dataset (meV/atom) = 122
- density (g/cm³) = 9.9
- uncorrected energy (eV for the cell shown) = -31.9

***

Entry 2:
A relaxed structure of Rb2ScBiCl6, computed with PBE.

Lattice parameters (Å, degrees): 8.2906 8.2906 8.2906 126.59 126.59 78.92
Element x y z (fractional)
Rb  0.2500  0.7500  0.5000
Rb  0.7500  0.2500  0.5000
Sc  0.0000  0.0000  0.0000
Bi  0.5000  0.5000  0.0000
Cl  0.1949  0.1949  0.0000
Cl  0.2373  0.2373  0.4747
Cl  0.2373  0.7627  0.0000
Cl  0.7627  0.2373  0.0000
Cl  0.7627  0.7627  0.5253
Cl  0.8051  0.8051  0.0000

Summary:
- SG = I4/mmm (139)
- calculated volume (Å³/f.u.) = 355.4
- density (g/cm³) = 3.0
- uncorrected energy (eV for the cell shown) = -39.0

***

Entry 3:
A relaxed structure of Na3NdAs2O8, computed with PBE.

Lattice parameters (Å, degrees): 5.9357 5.9357 7.1960 90.00 90.00 120.00
Element x y z (fractional)
Na  0.0000  0.0000  0.0000
Na  0.3333  0.6667  0.6768
Na  0.6667  0.3333  0.3232
Nd  0.0000  0.0000  0.5000
As  0.3333  0.6667  0.2079
As  0.6667  0.3333  0.7921
O  0.1785  0.3570  0.3034
O  0.1785  0.8215  0.3034
O  0.3333  0.6667  0.9759
O  0.3570  0.1785  0.6966
O  0.6430  0.8215  0.3034
O  0.6667  0.3333  0.0241
O  0.8215  0.1785  0.6966
O  0.8215  0.6430  0.6966

Summary:
- SG = P-3m1 (164)
- calculated volume (Å³/f.u.) = 219.6
- density (g/cm³) = 3.7
- uncorrected energy (eV for the cell shown) = -84.0

***

The lowest uncorrected energy belongs to which entry?
Na3NdAs2O8

***

Among the records above, which one has the highest density?
GdTh2In